The following is a PBE with a Hubbard U calculation of Li2PaMoO6 after structural relaxation, from the Alexandria database.

Unit cell a=5.227 b=5.285 c=5.863 alpha=64.38 beta=63.86 gamma=60.57
Space group P-1 (No. 2)
Asymmetric unit:
Li (0.214, 0.196, 0.383) (multiplicity 2)
Pa (0.000, 0.000, 0.000) (multiplicity 1)
Mo (0.500, 0.500, 0.500) (multiplicity 1)
O (0.120, 0.765, 0.726) (multiplicity 2)
O (0.261, 0.594, 0.280) (multiplicity 2)
O (0.385, 0.129, 0.729) (multiplicity 2)

Its raw total energy is -7.496 eV per atom.